Run w
## AcI2O8 (GGA-PBE)

Data for a geometry-optimized AcI2O8 structure.

The value obtained for the size of the total moment is 0.0 μB/cell.

The space group is C2/m (No. 12) and the conventional cell measures 11.093, 5.485 and 6.529 Å, with angles of 90.00, 110.79 and 90.00 degrees. The inequivalent atoms are Ac at (0.000, 0.000, 0.000), I at (0.213, 0.000, 0.695), O at (0.110, 0.500, 0.155), O at (0.134, 0.246, 0.786) and O at (0.163, 0.000, 0.389).



Run x
## AcI2O8 (GGA-PBE)

Data for a geometry-optimized AcI2O8 structure.

The value obtained for the size of the total moment is 0.0 μB/cell.

The space group is C2/m (No. 12) and the conventional cell measures 9.777, 6.443 and 5.616 Å, with angles of 90.00, 95.66 and 90.00 degrees. The inequivalent atoms are Ac at (0.000, 0.000, 0.000), I at (0.217, 0.500, 0.487), O at (0.101, 0.500, 0.723), O at (0.145, 0.194, 0.360) and O at (0.200, 0.000, 0.802).



Q: Which of them is the least stable? A: run x.



Run w
## Ac5Pb4I (GGA-PBE)

Data for a geometry-optimized Ac5Pb4I structure.

The value obtained for the size of the total moment is 0.0 μB/cell.

The space group is P4/mmm (No. 123) and the conventional cell measures 3.936, 3.936 and 23.056 Å, with angles of 90.00, 90.00 and 90.00 degrees. The inequivalent atoms are Ac at (0.000, 0.000, 0.000), Ac at (0.000, 0.000, 0.201), Ac at (0.000, 0.000, 0.398), Pb at (0.500, 0.500, 0.101), Pb at (0.500, 0.500, 0.302) and I at (0.500, 0.500, 0.500).



Run x
## Ac5Pb4I (GGA-PBE)

Data for a geometry-optimized Ac5Pb4I structure.

The value obtained for the size of the total moment is 0.0 μB/cell.

The space group is I4/m (No. 87) and the conventional cell measures 10.872, 10.872 and 6.843 Å, with angles of 90.00, 90.00 and 90.00 degrees. The inequivalent atoms are Ac at (0.000, 0.000, 0.000), Ac at (0.099, 0.691, 0.500), Pb at (0.106, 0.706, 0.000) and I at (0.000, 0.000, 0.500).



Q: Which of them is the least stable? A: run w.



Run w
## AcPmI (GGA-PBE)

Data for a geometry-optimized AcPmI structure.

The value obtained for the size of the total moment is 0.0 μB/cell.

The space group is P3m1 (No. 156) and the conventional cell measures 5.6347, 5.6347 and 4.0484 Å, with angles of 90.00, 90.00 and 120.00 degrees. The inequivalent atoms are Ac at (0.0000, 0.0000, 0.0000), Pm at (0.6667, 0.3333, 0.5004) and I at (0.3333, 0.6667, 0.5024).



Run x
## AcPmI (GGA-PBE)

Data for a geometry-optimized AcPmI structure.

The value obtained for the size of the total moment is 0.0 μB/cell.

The space group is Fddd (No. 70, origin choice 2) and the conventional cell measures 7.686, 13.664 and 18.305 Å, with angles of 90.00, 90.00 and 90.00 degrees. The inequivalent atoms are Ac at (0.125, 0.125, 0.005), Pm at (0.125, 0.125, 0.477) and I at (0.125, 0.256, 0.625).



Run y
## AcPmI (GGA-PBE)

Data for a geometry-optimized AcPmI structure.

The value obtained for the size of the total moment is 0.0 μB/cell.

The space group is I4mm (No. 107) and the conventional cell measures 3.881, 3.881 and 14.926 Å, with angles of 90.00, 90.00 and 90.00 degrees. The inequivalent atoms are Ac at (0.000, 0.000, 0.000), Pm at (0.000, 0.000, 0.677) and I at (0.000, 0.000, 0.322).



Q: Which of them is the least stable? A: run x.



Run w
## AcPmI2 (GGA-PBE)

Data for a geometry-optimized AcPmI2 structure.

The value obtained for the size of the total moment is 0.0 μB/cell.

The space group is P4/mmm (No. 123) and the conventional cell measures 3.988, 3.988 and 8.052 Å, with angles of 90.00, 90.00 and 90.00 degrees. The inequivalent atoms are Ac at (0.000, 0.000, 0.000), Pm at (0.000, 0.000, 0.500) and I at (0.500, 0.500, 0.264).



Run x
## AcPmI2 (GGA-PBE)

Data for a geometry-optimized AcPmI2 structure.

The value obtained for the size of the total moment is 0.0 μB/cell.

The space group is R-3m (No. 166, hexagonal axes) and the conventional cell measures 3.9647, 3.9647 and 30.6807 Å, with angles of 90.00, 90.00 and 120.00 degrees. The inequivalent atoms are Ac at (0.0000, 0.0000, 0.0000), Pm at (0.0000, 0.0000, 0.5000) and I at (0.0000, 0.0000, 0.2447).



Run y
## AcPmI2 (GGA-PBE)

Data for a geometry-optimized AcPmI2 structure.

The value obtained for the size of the total moment is 0.0 μB/cell.

The space group is R3m (No. 160, hexagonal axes) and the conventional cell measures 3.9763, 3.9763 and 30.5338 Å, with angles of 90.00, 90.00 and 120.00 degrees. The inequivalent atoms are Ac at (0.0000, 0.0000, 0.0000), Pm at (0.0000, 0.0000, 0.1635), I at (0.0000, 0.0000, 0.5749) and I at (0.0000, 0.0000, 0.7538).



Q: Which of them is the least stable? A: run w.



Run w
## AcPm2I (GGA-PBE)

Data for a geometry-optimized AcPm2I structure.

The value obtained for the size of the total moment is 0.0 μB/cell.

The space group is R3m (No. 160, hexagonal axes) and the conventional cell measures 3.8947, 3.8947 and 32.9819 Å, with angles of 90.00, 90.00 and 120.00 degrees. The inequivalent atoms are Ac at (0.0000, 0.0000, 0.0000), Pm at (0.0000, 0.0000, 0.5749), Pm at (0.0000, 0.0000, 0.7587) and I at (0.0000, 0.0000, 0.1668).



Run x
## AcPm2I (GGA-PBE)

Data for a geometry-optimized AcPm2I structure.

The value obtained for the size of the total moment is 0.0 μB/cell.

The space group is P4/mmm (No. 123) and the conventional cell measures 3.802, 3.802 and 9.803 Å, with angles of 90.00, 90.00 and 90.00 degrees. The inequivalent atoms are Ac at (0.000, 0.000, 0.000), Pm at (0.500, 0.500, 0.267) and I at (0.000, 0.000, 0.500).



Run y
## AcPm2I (GGA-PBE)

Data for a geometry-optimized AcPm2I structure.

The value obtained for the size of the total moment is 0.0 μB/cell.

The space group is R-3m (No. 166, hexagonal axes) and the conventional cell measures 3.8970, 3.8970 and 32.6821 Å, with angles of 90.00, 90.00 and 120.00 degrees. The inequivalent atoms are Ac at (0.0000, 0.0000, 0.0000), Pm at (0.0000, 0.0000, 0.2426) and I at (0.0000, 0.0000, 0.5000).



Q: Which of them is the least stable? A: run x.



Run w
## AcPrI (GGA-PBE)

Data for a geometry-optimized AcPrI structure.

The value obtained for the size of the total moment is 0.4 μB/cell.

The space group is P3m1 (No. 156) and the conventional cell measures 4.0646, 4.0646 and 8.3037 Å, with angles of 90.00, 90.00 and 120.00 degrees. The inequivalent atoms are Ac at (0.0000, 0.0000, 0.0000), Pr at (0.6667, 0.3333, 0.3616) and I at (0.3333, 0.6667, 0.6575).



Run x
## AcPrI (GGA-PBE)

Data for a geometry-optimized AcPrI structure.

The value obtained for the size of the total moment is 0.0 μB/cell.

The space group is I4mm (No. 107) and the conventional cell measures 3.904, 3.904 and 15.068 Å, with angles of 90.00, 90.00 and 90.00 degrees. The inequivalent atoms are Ac at (0.000, 0.000, 0.000), Pr at (0.000, 0.000, 0.679) and I at (0.000, 0.000, 0.327).



Q: Which of them is the least stable? A: run x.



Run w
## RbAcI4 (GGA-PBE)

Data for a geometry-optimized RbAcI4 structure.

The value obtained for the size of the total moment is 0.0 μB/cell.

The space group is Imma (No. 74) and the conventional cell measures 9.732, 11.115 and 15.161 Å, with angles of 90.00, 90.00 and 90.00 degrees. The inequivalent atoms are Rb at (0.000, 0.000, 0.000), Ac at (0.250, 0.250, 0.250), I at (0.000, 0.046, 0.251) and I at (0.246, 0.250, 0.038).



Run x
## RbAcI4 (GGA-PBE)

Data for a geometry-optimized RbAcI4 structure.

The value obtained for the size of the total moment is 0.0 μB/cell.

The space group is C2/c (No. 15) and the conventional cell measures 11.026, 15.757 and 8.183 Å, with angles of 90.00, 122.70 and 90.00 degrees. The inequivalent atoms are Rb at (0.000, 0.136, 0.250), Ac at (0.000, 0.497, 0.750), I at (0.106, 0.337, 0.571) and I at (0.223, 0.063, 0.795).



Q: Which of them is the least stable? A: run x.



Run w
## Ac2RhI (GGA-PBE)

Data for a geometry-optimized Ac2RhI structure.

The value obtained for the size of the total moment is 0.0 μB/cell.

The space group is C2/m (No. 12) and the conventional cell measures 7.569, 4.371 and 9.048 Å, with angles of 90.00, 106.25 and 90.00 degrees. The inequivalent atoms are Ac at (0.228, 0.000, 0.185), Rh at (0.000, 0.500, 0.000) and I at (0.000, 0.000, 0.500).



Run x
## Ac2RhI (GGA-PBE)

Data for a geometry-optimized Ac2RhI structure.

The value obtained for the size of the total moment is 0.0 μB/cell.

The space group is P4/mmm (No. 123) and the conventional cell measures 3.767, 3.767 and 8.893 Å, with angles of 90.00, 90.00 and 90.00 degrees. The inequivalent atoms are Ac at (0.000, 0.000, 0.203), Rh at (0.500, 0.500, 0.000) and I at (0.500, 0.500, 0.500).



Q: Which of them is the least stable? A: run x.



Run w
## AcSI (GGA-PBE)

Data for a geometry-optimized AcSI structure.

The value obtained for the size of the total moment is 0.0 μB/cell.

The space group is I4mm (No. 107) and the conventional cell measures 4.025, 4.025 and 12.109 Å, with angles of 90.00, 90.00 and 90.00 degrees. The inequivalent atoms are Ac at (0.000, 0.000, 0.000), S at (0.000, 0.000, 0.585) and I at (0.000, 0.000, 0.303).



Run x
## AcSI (GGA-PBE)

Data for a geometry-optimized AcSI structure.

The value obtained for the size of the total moment is 0.0 μB/cell.

The space group is F-43m (No. 216) and the conventional cell measures 7.533, 7.533 and 7.533 Å, with angles of 90.00, 90.00 and 90.00 degrees. The inequivalent atoms are Ac at (0.000, 0.000, 0.000), S at (0.250, 0.250, 0.250) and I at (0.250, 0.250, 0.750).



Q: Which of them is the least stable? A: run x.



Run w
## AcSI (GGA-PBE)

Data for a geometry-optimized AcSI structure.

The value obtained for the size of the total moment is 0.0 μB/cell.

The space group is Pbca (No. 61) and the conventional cell measures 7.278, 15.473 and 7.544 Å, with angles of 90.00, 90.00 and 90.00 degrees. The inequivalent atoms are Ac at (0.245, 0.088, 0.024), S at (0.000, 0.017, 0.745) and I at (0.189, 0.698, 0.416).



Run x
## AcSI (GGA-PBE)

Data for a geometry-optimized AcSI structure.

The value obtained for the size of the total moment is 0.0 μB/cell.

The space group is P3m1 (No. 156) and the conventional cell measures 4.6508, 4.6508 and 7.1272 Å, with angles of 90.00, 90.00 and 120.00 degrees. The inequivalent atoms are Ac at (0.0000, 0.0000, 0.0000), S at (0.3333, 0.6667, 0.1487) and I at (0.6667, 0.3333, 0.6969).



Q: Which of them is the least stable? A: run x.



Run w
## AcSbI (GGA-PBE)

Data for a geometry-optimized AcSbI structure.

The value obtained for the size of the total moment is 0.0 μB/cell.

The space group is P3m1 (No. 156) and the conventional cell measures 5.6305, 5.6305 and 3.9472 Å, with angles of 90.00, 90.00 and 120.00 degrees. The inequivalent atoms are Ac at (0.0000, 0.0000, 0.0000), Sb at (0.6667, 0.3333, 0.4994) and I at (0.3333, 0.6667, 0.9979).



Run x
## AcSbI (GGA-PBE)

Data for a geometry-optimized AcSbI structure.

The value obtained for the size of the total moment is 0.0 μB/cell.

The space group is P-3m1 (No. 164) and the conventional cell measures 5.1109, 5.1109 and 11.6399 Å, with angles of 90.00, 90.00 and 120.00 degrees. The inequivalent atoms are Ac at (0.0000, 0.0000, 0.1710), Sb at (0.3333, 0.6667, 0.9909) and I at (0.3333, 0.6667, 0.3394).



Q: Which of them is the least stable? A: run w.



Run w
## AcSbI (GGA-PBE)

Data for a geometry-optimized AcSbI structure.

The value obtained for the size of the total moment is 0.0 μB/cell.

The space group is I4mm (No. 107) and the conventional cell measures 4.387, 4.387 and 10.933 Å, with angles of 90.00, 90.00 and 90.00 degrees. The inequivalent atoms are Ac at (0.000, 0.000, 0.000), Sb at (0.000, 0.000, 0.638) and I at (0.000, 0.000, 0.328).



Run x
## AcSbI (GGA-PBE)

Data for a geometry-optimized AcSbI structure.

The value obtained for the size of the total moment is 2.4 μB/cell.

The space group is F-43m (No. 216) and the conventional cell measures 7.957, 7.957 and 7.957 Å, with angles of 90.00, 90.00 and 90.00 degrees. The inequivalent atoms are Ac at (0.000, 0.000, 0.000), Sb at (0.250, 0.250, 0.750) and I at (0.250, 0.250, 0.250).



Q: Which of them is the least stable? A: run x.